# Cr3CoAg3O8

An optimized crystal structure of Cr3CoAg3O8 (GGA+U, Alexandria via LeMat-Bulk).

Values from the calculation:
The calculation puts the theoretical density at 6.0 Mg/m³. The value obtained for the spin magnetization is 7.991 μB per cell. For the raw total energy, the calculation gives -6.175 eV/atom. As for the space group: No. 12.

a = 5.947 Å, b = 5.985 Å, c = 6.509 Å
α = 110.83°, β = 90.00°, γ = 119.79°
Site moments in Bohr magnetons follow the coordinates.
Fractional coordinates of all 15 atoms:
Cr1 0.500 0.500 0.500  3.00
Cr2 0.500 0.000 0.500  3.00
Cr3 0.000 0.500 0.500  3.00
O1 0.199 0.927 0.669  -0.03
O2 0.728 0.927 0.669  -0.03
O3 0.272 0.073 0.331  -0.03
O4 0.290 0.580 0.327  -0.05
O5 0.801 0.073 0.331  -0.03
O6 0.710 0.420 0.673  -0.05
O7 0.202 0.403 0.671  -0.02
O8 0.798 0.597 0.329  -0.02
Ag1 0.500 0.500 0.000  0.01
Ag2 0.000 0.500 0.000  0.01
Ag3 0.000 0.000 0.000  -0.01
Co1 0.000 0.000 0.500  -0.97